Below is a relaxed structure of CsVF3, with properties calculated at the PBE with a Hubbard U level.

Its electronic total energy is -109.0 eV/cell. For the total moment, the calculation gives 3.000 μB/f.u.

The structure belongs to space group P2_1/c (No. 14); the cell edges are 8.427, 5.609 and 7.862 Å and the angles 90.00°, 100.49° and 90.00°. The inequivalent atoms are Cs at (0.132, 0.179, 0.189), V at (0.428, 0.746, 0.569), F at (0.185, 0.657, 0.056), F at (0.349, 0.082, 0.950) and F at (0.451, 0.577, 0.826).